# 1
{"formula": "RbHg3B", "functional": "PBE-GGA", "state": "relaxed", "cell": [[5.025, 0.000, 0.000], [0.000, 5.025, 0.000], [0.000, 0.000, 5.025]], "species": ["Rb", "Hg", "Hg", "Hg", "B"], "frac_coords": [[0.000, 0.000, 0.000], [0.000, 0.500, 0.500], [0.500, 0.000, 0.500], [0.500, 0.500, 0.000], [0.500, 0.500, 0.500]], "dos_ef_per_ev_fu": 2.145, "polymorph_energy_kj_per_mol_atoms": 0.00, "sg": "Pm-3m, No. 221", "total_energy_ev_per_cell": -6.6, "ef_ev_per_atom": 0.3937}

=====

# 2
{"formula": "Tl2ZnTe", "functional": "PBE-GGA", "state": "relaxed", "cell": [[3.586, -4.979, 0.000], [3.586, 4.979, 0.000], [-0.024, 0.000, 3.309]], "species": ["Tl", "Tl", "Zn", "Te"], "frac_coords": [[0.000, 0.500, 0.000], [0.500, 0.000, 0.000], [0.000, 0.000, 0.500], [0.500, 0.500, 0.500]], "dos_ef_per_ev_fu": 1.568, "polymorph_energy_kj_per_mol_atoms": 12.12, "sg": "C2/m, No. 12", "total_energy_ev_per_cell": -9.0, "formation_energy_uncorrected_ev_per_atom": 0.0415}

=====

# 3
{"formula": "Zr2MoW", "functional": "PBE-GGA", "state": "relaxed", "cell": [[1.667, -2.442, 0.000], [1.667, 2.442, 0.000], [0.000, 0.000, 9.164]], "species": ["Zr", "Zr", "Mo", "W"], "frac_coords": [[0.000, 0.000, 0.247], [0.000, 0.000, 0.753], [0.500, 0.500, 0.000], [0.500, 0.500, 0.500]], "dos_ef_per_ev_fu": 4.303, "polymorph_energy_kj_per_mol_atoms": 12.13, "sg": "Cmmm, No. 65", "total_energy_ev_per_cell": -40.3, "ef_ev_per_atom": 0.1545}